No. 1
Entry from Alexandria: a relaxed structure of LiTbDy2 (PBE).

Summary:
**V**: 29.767 Å³ per atom
**Calculated formation energy**: 0.094 eV per atom
**Offset from the most stable computed form**: 24.6 meV/atom

abc: 3.5098 3.5098 33.4883
angles: 90.00 90.00 120.00
Last column: nearest neighbours and their distance in Å.
Space group R3m (No. 160, hexagonal axes)
Inequivalent atoms, fractional coordinates:
Li 0.0000 0.0000 0.0000 (multiplicity 3)  6 Dy 3.40, 6 Li 3.51
Tb 0.0000 0.0000 0.1667 (multiplicity 3)  6 Dy 3.50, 6 Tb 3.51
Dy 0.0000 0.0000 0.4148 (multiplicity 3)  3 Li 3.40, 3 Tb 3.50, 6 Dy 3.51
Dy 0.0000 0.0000 0.5851 (multiplicity 3)  3 Li 3.40, 3 Tb 3.50, 6 Dy 3.51

No. 2
Entry from Alexandria: a relaxed structure of CaLa2Zn (PBE).

Summary:
**V**: 31.878 Å³ per atom
**Calculated formation energy**: -0.073 eV per atom

abc: 12.9224 3.8722 5.6678
angles: 90.00 115.94 90.00
Last column: nearest neighbours and their distance in Å.
Space group Cm (No. 8)
Inequivalent atoms, fractional coordinates:
Ca 0.0000 0.0000 0.0000 (multiplicity 2)  2 Zn 3.08
La 0.0776 0.5000 0.5774 (multiplicity 2)  2 Zn 3.18, 4 Ca 3.55
La 0.2903 0.5000 0.2907 (multiplicity 2)  4 Zn 3.43, 2 Ca 3.74, 2 La 3.76-3.77
Zn 0.2944 0.0000 0.7946 (multiplicity 2)  2 Ca 3.08, 6 La 3.18-3.43

Copy entry 2 word for word.
Entry from Alexandria: a relaxed structure of CaLa2Zn (PBE).

Summary:
**V**: 31.878 Å³ per atom
**Calculated formation energy**: -0.073 eV per atom

abc: 12.9224 3.8722 5.6678
angles: 90.00 115.94 90.00
Last column: nearest neighbours and their distance in Å.
Space group Cm (No. 8)
Inequivalent atoms, fractional coordinates:
Ca 0.0000 0.0000 0.0000 (multiplicity 2)  2 Zn 3.08
La 0.0776 0.5000 0.5774 (multiplicity 2)  2 Zn 3.18, 4 Ca 3.55
La 0.2903 0.5000 0.2907 (multiplicity 2)  4 Zn 3.43, 2 Ca 3.74, 2 La 3.76-3.77
Zn 0.2944 0.0000 0.7946 (multiplicity 2)  2 Ca 3.08, 6 La 3.18-3.43

What is the formula in the first record?
LiTbDy2

The highest V belongs to which entry?
CaLa2Zn